Entry 1:
Entry from the Alexandria database: crystalline RbP2Ir3 at its relaxed geometry (GGA-PBE).

a b c (Å): 3.935 7.682 9.014
angles (deg): 111.94 90.00 104.84
Sites, in units of the cell vectors:
P 0.526 0.052 0.237
P 0.474 0.948 0.763
P 0.819 0.638 0.357
P 0.181 0.362 0.643
Ir 0.687 0.374 0.427
Ir 0.596 0.191 0.646
Ir 0.954 0.909 0.606
Ir 0.046 0.091 0.394
Ir 0.313 0.626 0.573
Ir 0.404 0.809 0.354
Rb 0.857 0.714 0.948
Rb 0.143 0.286 0.052

Summary:
The formation energy comes out at -0.375 eV per atom. The magnetization is 0.00 μB/atom. The space-group type is C2/m, No. 12.

---

Entry 2:
Entry from the Alexandria database: crystalline Cu6PPd12 at its relaxed geometry (GGA-PBE).

a b c (Å): 6.514 6.514 6.514
angles (deg): 90.19 90.19 90.19
Sites, in units of the cell vectors:
Cu 0.733 0.275 0.112
Cu 0.275 0.112 0.733
Cu 0.112 0.733 0.275
Cu 0.888 0.267 0.725
Cu 0.725 0.888 0.267
Cu 0.267 0.725 0.888
Pd 0.642 0.982 0.855
Pd 0.018 0.145 0.358
Pd 0.465 0.560 0.198
Pd 0.358 0.018 0.145
Pd 0.560 0.198 0.465
Pd 0.802 0.535 0.440
Pd 0.198 0.465 0.560
Pd 0.145 0.358 0.018
Pd 0.855 0.642 0.982
Pd 0.440 0.802 0.535
Pd 0.982 0.855 0.642
Pd 0.535 0.440 0.802
P 0.000 0.000 0.000

Summary:
The formation energy comes out at -0.058 eV per atom. The magnetization is 0.00 μB/atom. The space-group type is R-3, No. 148.

---

Entry 3:
Entry from the Alexandria database: crystalline Ba2AgRu at its relaxed geometry (GGA-PBE).

a b c (Å): 10.909 10.909 8.171
angles (deg): 48.12 48.12 90.00
Sites, in units of the cell vectors:
Ba 0.875 0.699 0.750
Ba 0.449 0.125 0.250
Ba 0.375 0.551 0.750
Ba 0.301 0.625 0.250
Ag 0.750 0.250 0.500
Ag 0.000 0.000 0.000
Ru 0.250 0.750 0.500
Ru 0.500 0.500 0.000

Summary:
The formation energy comes out at 0.399 eV per atom. The magnetization is 0.00 μB/atom. The space-group type is I-42d, No. 122.

---

Entry 4:
Entry from the Alexandria database: crystalline YFe2Si at its relaxed geometry (GGA-PBE).

a b c (Å): 3.944 3.944 5.474
angles (deg): 68.87 68.87 59.98
Each line ends with the local moment (μB).
Sites, in units of the cell vectors:
Fe 0.745 0.745 0.765  1.30
Fe 0.052 0.052 0.845  1.72
Si 0.451 0.451 0.646  -0.02
Y 0.252 0.252 0.243  -0.14

Summary:
The magnetization is 0.68 μB/atom. The space-group type is R3m, No. 160. Its uncorrected formation energy is -394 meV per atom.